(1)
DFT (GGA-PBE) results for an optimized crystal structure of LaTl2Cd.

```
8
Lattice="-2.3902 2.3902 11.0532 2.3902 -2.3902 11.0532 2.3902 2.3902 -11.0532" Properties=species:S:1:pos:R:3 pbc="T T T"
La 0.0000 0.0000 0.0000
La 0.0000 2.3902 5.5266
Tl 1.1951 -1.0596 8.2899
Tl 1.3306 1.1951 2.7633
Tl 1.1951 3.4499 -2.7633
Tl 1.0596 1.1951 13.8165
Cd 2.3902 0.0000 5.5266
Cd 0.0000 0.0000 11.0532
```

Results
SG: I-42d, No. 122

(2)
DFT (GGA-PBE) results for an optimized crystal structure of BaCo2.

```
6
Lattice="-2.2276 2.2276 6.7891 2.2276 -2.2276 6.7891 2.2276 2.2276 -6.7891" Properties=species:S:1:pos:R:3 pbc="T T T"
Ba 2.2276 1.1138 1.6973
Ba 0.0000 1.1138 5.0919
Co 2.2276 -1.1138 3.9533
Co 2.2276 -1.1138 6.2305
Co 0.0000 3.3413 0.5587
Co 0.0000 3.3413 2.8359
```

Results
SG: I4_1/amd, No. 141

For the records above, the corresponding ΔE_f values read -0.083, 0.495 eV/atom.
For the records above, the corresponding energy values read -21.8, -29.3 eV/cell.